Compound: Sm7Er2Tm3
Source: the Alexandria database
Functional: PBE-GGA
Structure: optimized geometry

Energy relative to the elements, eV/atom: 0.073
Crystal system: monoclinic
V, Å³ per atom: 32.45

a = 3.5298 Å, b = 6.3762 Å, c = 17.8957 Å
α = 75.21°, β = 90.00°, γ = 90.00°
Fractional coordinates of all 12 atoms:
1 Sm 0.0000 0.4420 0.8332
2 Sm 0.5000 0.2382 0.5043
3 Sm 0.5000 0.7618 0.4957
4 Sm 0.5000 0.0539 0.1715
5 Sm 0.0000 0.5580 0.1668
6 Sm 0.5000 0.9461 0.8285
7 Sm 0.0000 0.0000 0.0000
8 Er 0.5000 0.6113 0.3293
9 Er 0.5000 0.3887 0.6707
10 Tm 0.5000 0.5000 0.0000
11 Tm 0.0000 0.8877 0.6586
12 Tm 0.0000 0.1123 0.3414